Entry from the Alexandria database: a geometry-optimized PRhSe structure (PBE).

a b c (Å): 3.769 3.769 5.039
angles (deg): 90.00 90.00 120.00
Sites, in units of the cell vectors:
Se (0.667, 0.333, 0.568)
P (0.000, 0.000, 0.147)
Rh (0.333, 0.667, 0.285)

Summary:
* energy relative to the elements, uncorrected: -0.22 eV per atom

Entry from the Alexandria database: a geometry-optimized NpPa2Co structure (PBE).

a b c (Å): 3.045 3.045 10.168
angles (deg): 81.39 81.39 60.00
Sites, in units of the cell vectors:
Co (0.500, 0.500, 0.500)
Np (0.000, 0.000, 0.000)
Pa (0.905, 0.905, 0.285)
Pa (0.095, 0.095, 0.715)

Number 1: size of the total moment 0.00 μB/f.u., total DFT energy (no corrections) -5.636 eV/atom. Number 2: size of the total moment 2.54 μB/f.u., total DFT energy (no corrections) -9.403 eV/atom.